(1)
Crystalline Mn2GaSe2 at its relaxed geometry. Source: the Alexandria database, functional PBE-GGA.

Output
The calculation puts the offset from the most stable computed form at 69.9 meV per atom.

Structure (CIF):
```
data_Mn2GaSe2
_symmetry_space_group_name_H-M 'C 1 2/m 1'
_symmetry_Int_Tables_number 12
_cell_length_a 6.540
_cell_length_b 3.777
_cell_length_c 8.511
_cell_angle_alpha 90.00
_cell_angle_beta 104.63
_cell_angle_gamma 90.00
loop_
_symmetry_equiv_pos_as_xyz
'x,y,z'
'-x,-y,-z'
'-x,y,-z'
'x,-y,z'
'x+1/2,y+1/2,z'
'-x+1/2,-y+1/2,-z'
'-x+1/2,y+1/2,-z'
'x+1/2,-y+1/2,z'
loop_
_atom_site_label
_atom_site_type_symbol
_atom_site_fract_x
_atom_site_fract_y
_atom_site_fract_z
_atom_site_occupancy
Mn1 Mn 0.137 0.000 0.411 1
Ga1 Ga 0.000 0.000 0.000 1
Se1 Se 0.237 0.000 0.713 1
```

=====

(2)
Crystalline MnGa2Se at its relaxed geometry. Source: the Alexandria database, functional PBE-GGA.

Structure (CIF):
```
data_MnGa2Se
_symmetry_space_group_name_H-M 'I -4 2 d'
_symmetry_Int_Tables_number 122
_symmetry_space_group_name_Hall 'I -4 2bw'
_cell_length_a 6.431
_cell_length_b 6.431
_cell_length_c 10.945
_cell_angle_alpha 90.00
_cell_angle_beta 90.00
_cell_angle_gamma 90.00
loop_
_atom_site_label
_atom_site_type_symbol
_atom_site_fract_x
_atom_site_fract_y
_atom_site_fract_z
_atom_site_occupancy
Mn1 Mn 0.000 0.000 0.000 1
Ga1 Ga 0.249 0.250 0.625 1
Se1 Se 0.000 0.000 0.500 1
```

=====

(3)
Crystalline Mn5GaSe8 at its relaxed geometry. Source: the Alexandria database, functional PBE-GGA.

Structure (CIF):
```
data_Mn5GaSe8
_symmetry_space_group_name_H-M 'F -4 3 m'
_symmetry_Int_Tables_number 216
_symmetry_space_group_name_Hall 'F -4 2 3'
_cell_length_a 10.793
_cell_length_b 10.793
_cell_length_c 10.793
_cell_angle_alpha 90.00
_cell_angle_beta 90.00
_cell_angle_gamma 90.00
loop_
_atom_site_label
_atom_site_type_symbol
_atom_site_fract_x
_atom_site_fract_y
_atom_site_fract_z
_atom_site_occupancy
Mn1 Mn 0.000 0.000 0.000 1
Mn2 Mn 0.126 0.126 0.626 1
Ga1 Ga 0.250 0.250 0.250 1
Se1 Se 0.116 0.116 0.384 1
Se2 Se 0.133 0.133 0.867 1
```

=====

(4)
Crystalline Mn2GaSe2 at its relaxed geometry. Source: the Alexandria database, functional PBE-GGA.

Output
The calculation puts the offset from the most stable computed form at 167.2 meV per atom.

Structure (CIF):
```
data_Mn2GaSe2
_symmetry_space_group_name_H-M 'C 1 m 1'
_symmetry_Int_Tables_number 8
_cell_length_a 12.043
_cell_length_b 3.108
_cell_length_c 5.470
_cell_angle_alpha 90.00
_cell_angle_beta 116.33
_cell_angle_gamma 90.00
loop_
_symmetry_equiv_pos_as_xyz
'x,y,z'
'x,-y,z'
'x+1/2,y+1/2,z'
'x+1/2,-y+1/2,z'
loop_
_atom_site_label
_atom_site_type_symbol
_atom_site_fract_x
_atom_site_fract_y
_atom_site_fract_z
_atom_site_occupancy
Mn1 Mn 0.000 0.000 0.000 1
Mn2 Mn 0.145 0.500 0.813 1
Ga1 Ga 0.305 0.000 0.728 1
Se1 Se 0.003 0.500 0.339 1
Se2 Se 0.220 0.000 0.177 1
```

=====

| no. | theoretical density (Mg/m³) | calculated volume (A^3/atom) | formation energy without anion corrections (eV per formula unit) |
| --- | --- | --- | --- |
| 1 | 5.51 | 20.34 | -0.58 |
| 2 | 4.01 | 28.29 | 1.18 |
| 3 | 5.16 | 22.45 | -6.17 |
| 4 | 6.11 | 18.35 | -0.10 |